Entry from the Alexandria database: an optimized crystal structure of CrHg2F6 (PBE+U).

## Properties
The calculation puts the total moment at 6.25 μB/cell. Its space group is Cmce, No. 64. The electronic total energy is -3.99 eV per atom.

abc: 5.5525 5.3872 9.7108
angles: 90.00 106.61 90.00
Each line ends with the local moment (μB).
Fractional positions:
Hg 0.6762 0.0562 0.3524  0.02
F 0.1004 0.0956 0.2008  0.00
F 0.5262 0.2500 0.5525  0.01
Cr 0.5000 0.5000 0.0000  2.97
F 0.2271 0.2500 0.9542  0.00
Hg 0.1762 0.4438 0.3524  0.02
F 0.3996 0.5956 0.7992  0.00
F 0.8996 0.9044 0.7992  0.00
F 0.7729 0.7500 0.0458  0.00
Hg 0.3238 0.9438 0.6476  0.02
F 0.6004 0.4044 0.2008  0.00
Cr 0.0000 0.0000 0.0000  2.97
F 0.7271 0.2500 0.9542  0.00
F 0.0262 0.2500 0.5525  0.01
Hg 0.8238 0.5562 0.6476  0.02
F 0.4738 0.7500 0.4475  0.01
F 0.9738 0.7500 0.4475  0.01
F 0.2729 0.7500 0.0458  0.00